Computed, not measured: a relaxed structure of KY2Be at the PBE level of DFT.

a b c (Å): 6.1919 6.1919 6.1919
angles (deg): 135.72 135.72 64.41
With the nearest neighbours (Å) after each atom.
Fractional coordinates of all 4 atoms:
K 0.7500 0.2500 0.5000  8 Y 3.30-3.51, 4 Be 3.51
Y 0.0000 0.0000 0.0000  4 Be 3.30, 4 K 3.51, 4 Y 3.51
Y 0.2500 0.7500 0.5000  4 K 3.30, 4 Be 3.51, 4 Y 3.51
Be 0.5000 0.5000 0.0000  8 Y 3.30-3.51, 4 K 3.51

Values from the calculation:
* ΔH_f (0 K): 0.81 eV per atom
* VASP energy: -14.50 eV/cell
* spin magnetization: 0.01 μB per formula unit